This record from Alexandria via LeMat-Bulk describes crystalline KFe2Ag at its relaxed geometry. The functional is GGA-PBE.

Energy relative to the lowest polymorph listed for this composition ... 126 meV per atom
E_form ... 0.67 eV per atom

The structure in extended XYZ format:
```
4
Lattice="4.130 -1.422 0.000 4.130 1.422 0.000 -0.771 0.000 7.366" Properties=species:S:1:pos:R:3 pbc="T T T"
K 0.000 0.000 0.000
Fe 3.710 0.000 3.357
Fe 6.143 0.000 2.557
Ag 1.394 0.000 4.832
```

This record from Alexandria via LeMat-Bulk describes crystalline K2FeAg at its relaxed geometry. The functional is GGA-PBE.

Energy relative to the lowest polymorph listed for this composition ... 220 meV per atom
E_form ... 0.77 eV per atom

The structure in extended XYZ format:
```
4
Lattice="-2.736 2.736 3.847 2.736 -2.736 3.847 2.736 2.736 -3.847" Properties=species:S:1:pos:R:3 pbc="T T T"
K 0.000 0.000 0.000
K 0.000 2.736 1.924
Fe 2.736 0.000 1.924
Ag 0.000 0.000 3.847
```

This record from Alexandria via LeMat-Bulk describes crystalline KFe2Ag at its relaxed geometry. The functional is GGA-PBE.

Energy relative to the lowest polymorph listed for this composition ... 234 meV per atom
E_form ... 0.78 eV per atom

The structure in extended XYZ format:
```
4
Lattice="2.759 0.000 0.000 0.000 4.275 0.000 0.000 0.000 7.320" Properties=species:S:1:pos:R:3 pbc="T T T"
K 0.000 0.000 0.000
Fe 1.380 2.137 2.537
Fe 1.380 2.137 4.783
Ag 0.000 0.000 3.660
```

This record from Alexandria via LeMat-Bulk describes crystalline KFeAg2 at its relaxed geometry. The functional is GGA-PBE.

Energy relative to the lowest polymorph listed for this composition ... 321 meV per atom
E_form ... 0.76 eV per atom

The structure in extended XYZ format:
```
4
Lattice="2.933 0.000 0.000 0.000 5.278 0.000 0.000 0.000 5.437" Properties=species:S:1:pos:R:3 pbc="T T T"
K 0.000 0.000 0.000
Fe 1.467 0.000 2.718
Ag 0.000 2.639 2.718
Ag 1.467 2.639 0.000
```

This record from Alexandria via LeMat-Bulk describes crystalline K2FeAg at its relaxed geometry. The functional is GGA-PBE.

Energy relative to the lowest polymorph listed for this composition ... 348 meV per atom
E_form ... 0.90 eV per atom

The structure in extended XYZ format:
```
4
Lattice="1.690 0.975 11.214 -1.690 0.975 11.214 0.000 -1.951 11.214" Properties=species:S:1:pos:R:3 pbc="T T T"
K 0.000 0.000 8.425
K 0.000 0.000 25.217
Fe 0.000 0.000 16.821
Ag 0.000 0.000 0.000
```

This record from Alexandria via LeMat-Bulk describes crystalline KFeAg2 at its relaxed geometry. The functional is GGA-PBE.

Energy relative to the lowest polymorph listed for this composition ... 310 meV per atom
E_form ... 0.75 eV per atom

The structure in extended XYZ format:
```
4
Lattice="-2.131 2.131 4.686 2.131 -2.131 4.686 2.131 2.131 -4.686" Properties=species:S:1:pos:R:3 pbc="T T T"
K 0.000 0.000 0.000
Fe 0.000 2.131 2.343
Ag 2.131 0.000 2.343
Ag 0.000 0.000 4.686
```

This record from Alexandria via LeMat-Bulk describes crystalline KFeAg2 at its relaxed geometry. The functional is GGA-PBE.

Energy relative to the lowest polymorph listed for this composition ... 145 meV per atom
E_form ... 0.59 eV per atom

The structure in extended XYZ format:
```
4
Lattice="2.984 0.000 0.000 0.000 2.984 0.000 0.000 0.000 9.455" Properties=species:S:1:pos:R:3 pbc="T T T"
K 0.000 0.000 0.000
Fe 1.492 1.492 6.638
Ag 0.000 0.000 4.871
Ag 1.492 1.492 2.826
```

This record from Alexandria via LeMat-Bulk describes crystalline K2FeAg at its relaxed geometry. The functional is GGA-PBE.

Energy relative to the lowest polymorph listed for this composition ... 104 meV per atom
E_form ... 0.65 eV per atom

The structure in extended XYZ format:
```
4
Lattice="5.076 0.000 0.000 0.000 4.624 0.000 -2.537 0.000 6.163" Properties=species:S:1:pos:R:3 pbc="T T T"
K 0.000 0.000 0.000
K 0.002 2.312 3.600
Fe 2.535 2.312 1.231
Ag 2.542 0.000 2.445
```

This record from Alexandria via LeMat-Bulk describes crystalline K2FeAg at its relaxed geometry. The functional is GGA-PBE.

Energy relative to the lowest polymorph listed for this composition ... 253 meV per atom
E_form ... 0.80 eV per atom

The structure in extended XYZ format:
```
4
Lattice="3.672 0.000 0.000 0.000 3.672 0.000 0.000 0.000 9.489" Properties=species:S:1:pos:R:3 pbc="T T T"
K 0.000 0.000 2.306
K 0.000 0.000 7.183
Fe 1.836 1.836 4.744
Ag 1.836 1.836 0.000
```

This record from Alexandria via LeMat-Bulk describes crystalline KFeAg2 at its relaxed geometry. The functional is GGA-PBE.

Energy relative to the lowest polymorph listed for this composition ... 164 meV per atom
E_form ... 0.61 eV per atom

The structure in extended XYZ format:
```
4
Lattice="-1.422 2.720 5.591 1.422 -2.720 5.591 1.422 2.720 -5.591" Properties=species:S:1:pos:R:3 pbc="T T T"
K 0.000 0.000 0.000
Fe 0.000 2.720 2.432
Ag 1.422 0.000 3.143
Ag 0.000 0.000 5.701
```

This record from Alexandria via LeMat-Bulk describes crystalline KFe2Ag at its relaxed geometry. The functional is GGA-PBE.

Energy relative to the lowest polymorph listed for this composition ... 246 meV per atom
E_form ... 0.79 eV per atom

The structure in extended XYZ format:
```
4
Lattice="-1.403 2.773 5.209 1.403 -2.773 5.209 1.403 2.773 -5.209" Properties=species:S:1:pos:R:3 pbc="T T T"
K 0.000 0.000 0.000
Fe 0.000 0.000 5.509
Fe 0.000 2.773 2.113
Ag 1.403 0.000 3.106
```

This record from Alexandria via LeMat-Bulk describes crystalline KFeAg2 at its relaxed geometry. The functional is GGA-PBE.

Energy relative to the lowest polymorph listed for this composition ... 240 meV per atom
E_form ... 0.68 eV per atom

The structure in extended XYZ format:
```
8
Lattice="-2.700 2.700 8.758 2.700 -2.700 8.758 2.700 2.700 -8.758" Properties=species:S:1:pos:R:3 pbc="T T T"
K 2.700 1.350 2.190
K 0.000 1.350 6.569
Fe 2.700 -1.350 6.569
Fe 0.000 4.050 2.190
Ag 0.000 0.000 0.000
Ag 1.350 1.350 -4.379
Ag 1.350 -1.350 4.379
Ag 0.000 2.700 0.000
```

This record from Alexandria via LeMat-Bulk describes crystalline KFeAg2 at its relaxed geometry. The functional is GGA-PBE.

Energy relative to the lowest polymorph listed for this composition ... 161 meV per atom
E_form ... 0.60 eV per atom

The structure in extended XYZ format:
```
4
Lattice="1.544 0.891 9.974 -1.544 0.891 9.974 0.000 -1.783 9.974" Properties=species:S:1:pos:R:3 pbc="T T T"
K 0.000 0.000 0.000
Fe 0.000 0.000 14.961
Ag 0.000 0.000 7.063
Ag 0.000 0.000 22.858
```

This record from Alexandria via LeMat-Bulk describes crystalline KFeAg2 at its relaxed geometry. The functional is GGA-PBE.

Energy relative to the lowest polymorph listed for this composition ... 358 meV per atom
E_form ... 0.80 eV per atom

The structure in extended XYZ format:
```
4
Lattice="0.000 3.521 3.521 3.521 0.000 3.521 3.521 3.521 0.000" Properties=species:S:1:pos:R:3 pbc="T T T"
K 0.000 0.000 0.000
Fe 5.282 5.282 5.282
Ag 1.761 1.761 1.761
Ag 3.521 3.521 3.521
```

This record from Alexandria via LeMat-Bulk describes crystalline KFe3Ag at its relaxed geometry. The functional is GGA-PBE.

Energy relative to the lowest polymorph listed for this composition ... 965 meV per atom
E_form ... 2.37 eV per atom

The structure in extended XYZ format:
```
5
Lattice="4.489 0.000 0.000 0.000 4.489 0.000 0.000 0.000 4.489" Properties=species:S:1:pos:R:3 pbc="T T T"
K 0.000 0.000 0.000
Fe 0.000 0.000 2.244
Fe 0.000 2.244 0.000
Fe 2.244 0.000 0.000
Ag 2.244 2.244 2.244
```

Number 1: electronic total energy -4.548 eV/atom. Number 2: electronic total energy -2.608 eV/atom. Number 3: electronic total energy -4.440 eV/atom. Number 4: electronic total energy -3.051 eV/atom. Number 5: electronic total energy -2.480 eV/atom. Number 6: electronic total energy -3.062 eV/atom. Number 7: electronic total energy -3.227 eV/atom. Number 8: electronic total energy -2.724 eV/atom. Number 9: electronic total energy -2.575 eV/atom. Number 10: electronic total energy -3.208 eV/atom. Number 11: electronic total energy -4.428 eV/atom. Number 12: electronic total energy -3.132 eV/atom. Number 13: electronic total energy -3.211 eV/atom. Number 14: electronic total energy -3.014 eV/atom. Number 15: electronic total energy -3.500 eV/atom.